The following is a DFT calculation (meta-GGA SCAN) of a crystal of BaLaI5 relaxed with PBEsol.

Cell and atoms, written as extended XYZ:
```
14
Lattice="-1.578 5.664 2.315 -5.992 0.936 -4.990 -7.510 -1.970 8.339" Properties=species:S:1:pos:R:3 pbc="T T T"
I -6.923 2.264 -0.580
I -2.158 3.911 1.726
I -11.752 3.063 6.596
I -4.237 3.961 4.970
I -12.700 0.534 3.931
I -10.834 0.933 0.510
I -7.897 2.357 6.474
I -3.173 1.335 -0.869
I -8.091 0.412 3.093
I -7.267 4.267 2.696
La -7.885 -1.031 5.965
La -7.083 5.547 -0.279
Ba -10.669 3.376 3.167
Ba -4.815 1.537 2.300
```

Results
Energy above the lowest structure with this stoichiometry   0.00 eV per formula unit
Final energy   -557.7 eV/cell
Raw formation energy   -1783 meV/atom



The following is a DFT calculation (meta-GGA SCAN) of a crystal of BaLa2I8 relaxed with PBEsol.

Cell and atoms, written as extended XYZ:
```
11
Lattice="-0.349 -4.762 -3.961 8.596 1.138 -0.172 -2.475 -4.173 7.188" Properties=species:S:1:pos:R:3 pbc="T T T"
I 0.233 -2.873 5.388
I 5.887 -0.161 1.629
I -0.459 -4.045 0.004
I 3.357 -5.130 4.961
I 3.507 -5.738 1.134
I 6.230 -3.752 3.051
I 2.414 -2.667 -1.906
I 2.265 -2.058 1.921
La 0.877 -4.862 2.863
La 4.894 -2.935 0.192
Ba 0.000 0.000 0.000
```

Results
Final energy   -438.4 eV/cell
Raw formation energy   -1698 meV/atom



The following is a DFT calculation (meta-GGA SCAN) of a crystal of Ba2LaI7 relaxed with PBEsol.

Cell and atoms, written as extended XYZ:
```
20
Lattice="9.107 0.000 0.000 4.554 9.101 -0.036 4.554 2.748 9.470" Properties=species:S:1:pos:R:3 pbc="T T T"
La 13.529 7.513 2.341
La 4.686 4.336 7.094
I 14.784 7.264 8.057
I 12.222 7.024 5.457
I 5.993 4.825 3.977
I 7.985 1.340 3.340
I 6.829 6.503 0.315
I 1.439 1.099 0.740
I 10.153 7.513 2.341
I 8.062 4.336 7.094
I 11.385 3.327 5.068
I 3.431 4.585 1.377
I 10.230 10.509 6.094
I 6.829 8.522 4.366
I 11.385 5.346 9.119
I 16.776 10.750 8.695
Ba 9.157 7.599 7.564
Ba 4.504 1.674 2.847
Ba 13.711 10.175 6.588
Ba 9.057 4.250 1.870
```

Results
Final energy   -794.9 eV/cell
Raw formation energy   -1805 meV/atom



The following is a DFT calculation (meta-GGA SCAN) of a crystal of BaLaIO2 relaxed with PBEsol.

Cell and atoms, written as extended XYZ:
```
5
Lattice="4.701 0.000 0.000 0.000 4.701 0.000 0.000 0.000 6.110" Properties=species:S:1:pos:R:3 pbc="T T T"
O 2.351 0.000 0.000
O 0.000 2.351 0.000
I 0.000 0.000 3.055
Ba 2.351 2.351 3.055
La 0.000 0.000 0.000
```

Results
Final energy   -143.1 eV/cell
Raw formation energy   -2242 meV/atom



The following is a DFT calculation (meta-GGA SCAN) of a crystal of BaLiI2 relaxed with PBEsol.

Cell and atoms, written as extended XYZ:
```
8
Lattice="-2.848 -7.263 2.759 6.711 1.511 -1.504 6.391 -0.518 5.231" Properties=species:S:1:pos:R:3 pbc="T T T"
I 10.057 -0.769 4.000
I 1.885 -2.449 1.702
I 5.862 -3.060 2.352
I 2.704 -6.263 4.918
Li 1.771 -3.891 3.995
Li 4.241 -1.190 1.245
Ba 6.013 -5.081 5.241
Ba 0.000 0.000 0.000
```

Results
Energy above the lowest structure with this stoichiometry   0.00 eV per formula unit
Final energy   -240.8 eV/cell
Raw formation energy   -1243 meV/atom



The following is a DFT calculation (meta-GGA SCAN) of a crystal of BaLiI2 relaxed with PBEsol.

Cell and atoms, written as extended XYZ:
```
4
Lattice="5.803 0.000 0.000 2.901 5.025 0.000 2.901 1.675 4.738" Properties=species:S:1:pos:R:3 pbc="T T T"
I 2.901 1.675 1.185
I 8.704 5.025 3.554
Ba 5.803 3.350 2.369
Li 0.000 0.000 0.000
```

Results
Energy above the lowest structure with this stoichiometry   0.29 eV per formula unit
Final energy   -120.1 eV/cell
Raw formation energy   -1171 meV/atom



The following is a DFT calculation (meta-GGA SCAN) of a crystal of BaLiIO2 relaxed with PBEsol.

Cell and atoms, written as extended XYZ:
```
5
Lattice="4.587 0.000 0.000 0.000 4.587 0.000 0.000 0.000 4.832" Properties=species:S:1:pos:R:3 pbc="T T T"
O 0.000 2.294 0.000
O 2.294 0.000 0.000
Li 0.000 0.000 0.000
I 0.000 0.000 2.416
Ba 2.294 2.294 2.416
```

Results
Final energy   -96.1 eV/cell
Raw formation energy   -984 meV/atom



The following is a DFT calculation (meta-GGA SCAN) of a crystal of Ba2MgOsI relaxed with PBEsol.

Cell and atoms, written as extended XYZ:
```
5
Lattice="-4.830 2.037 0.484 -1.662 -2.658 -5.397 -1.844 -5.105 3.082" Properties=species:S:1:pos:R:3 pbc="T T T"
Ba -0.922 -2.552 1.541
Ba -0.831 -1.329 -2.699
Os -4.168 -2.863 -0.916
I -2.415 1.019 0.242
Mg 0.000 0.000 0.000
```

Results
Final energy   -187.3 eV/cell
Raw formation energy   1077 meV/atom



The following is a DFT calculation (meta-GGA SCAN) of a crystal of Ba2MgSI relaxed with PBEsol.

Cell and atoms, written as extended XYZ:
```
5
Lattice="5.904 0.000 0.000 0.000 5.904 0.000 0.000 0.000 6.637" Properties=species:S:1:pos:R:3 pbc="T T T"
Mg 2.952 2.952 3.318
Ba 2.952 0.000 0.000
Ba 0.000 2.952 0.000
I 0.000 0.000 3.318
S 0.000 0.000 0.000
```

Results
Final energy   -134.2 eV/cell
Raw formation energy   -749 meV/atom



The following is a DFT calculation (meta-GGA SCAN) of a crystal of BaMgTaI2 relaxed with PBEsol.

Cell and atoms, written as extended XYZ:
```
5
Lattice="5.587 0.000 0.000 0.000 5.623 0.000 0.000 0.000 5.623" Properties=species:S:1:pos:R:3 pbc="T T T"
Ta 2.794 0.000 0.000
Mg 0.000 0.000 0.000
I 0.000 2.812 0.000
I 0.000 0.000 2.812
Ba 2.794 2.812 2.812
```

Results
Final energy   -182.7 eV/cell
Raw formation energy   384 meV/atom



The following is a DFT calculation (meta-GGA SCAN) of a crystal of BaMn3I relaxed with PBEsol.

Cell and atoms, written as extended XYZ:
```
5
Lattice="4.940 0.000 0.000 0.000 4.940 0.000 0.000 0.000 4.940" Properties=species:S:1:pos:R:3 pbc="T T T"
Mn 0.000 2.470 0.000
Mn 2.470 0.000 0.000
Mn 0.000 0.000 2.470
Ba 2.470 2.470 2.470
I 0.000 0.000 0.000
```

Results
Final energy   -126.9 eV/cell
Raw formation energy   826 meV/atom



The following is a DFT calculation (meta-GGA SCAN) of a crystal of BaMnI3 relaxed with PBEsol.

Cell and atoms, written as extended XYZ:
```
5
Lattice="-1.646 4.618 -4.372 -4.956 1.898 3.871 3.985 4.269 3.009" Properties=species:S:1:pos:R:3 pbc="T T T"
Mn -1.309 5.392 1.254
I -0.823 2.309 -2.186
I 1.992 2.134 1.504
I -2.478 0.949 1.936
Ba 0.000 0.000 0.000
```

Results
Final energy   -171.8 eV/cell
Raw formation energy   -745 meV/atom